DFT (GGA-PBE) results for Os2RuRh4 after structural relaxation.

Unit cell a=4.630 b=4.630 c=7.064 alpha=130.95 beta=77.90 gamma=108.76
Each line ends with the local moment (μB).
Element x y z (fractional)
Rh  0.000  0.244  0.745  0.03
Os  0.500  0.000  0.500  0.30
Rh  0.499  0.745  0.745  0.03
Ru  0.000  0.000  0.000  0.07
Rh  0.501  0.255  0.255  0.03
Rh  0.000  0.756  0.255  0.03
Os  0.500  0.500  0.000  -0.01

Properties
E_form   0.348 eV/atom
Size of the total moment   0.50 Bohr magnetons per cell
Calculated total energy   -58.70 eV/cell

=====

DFT (GGA-PBE) results for OsRu2Rh after structural relaxation.

Unit cell a=5.354 b=5.354 c=2.664 alpha=75.97 beta=75.97 gamma=119.58
Each line ends with the local moment (μB).
Element x y z (fractional)
Os  0.500  0.000  0.500  0.26
Ru  0.000  0.000  0.000  0.55
Ru  0.500  0.500  0.000  0.55
Rh  0.000  0.500  0.500  0.05

Properties
E_form   0.492 eV/atom
Size of the total moment   1.45 Bohr magnetons per cell
Calculated total energy   -35.17 eV/cell

=====

DFT (GGA-PBE) results for OsRu2Rh after structural relaxation.

Unit cell a=4.695 b=4.695 c=4.708 alpha=80.57 beta=80.57 gamma=33.45
Element x y z (fractional)
Ru  0.503  0.503  0.495
Ru  0.997  0.997  0.005
Rh  0.750  0.750  0.750
Os  0.250  0.250  0.250

Properties
E_form   0.081 eV/atom
Size of the total moment   0.00 Bohr magnetons per cell
Calculated total energy   -36.81 eV/cell